Density functional theory data (PBE) for a relaxed structure of HfInGaPd.

Lattice parameters (Å, degrees): 6.6807 6.6807 6.6807 90.00 90.00 90.00
Element x y z (fractional)
Hf 0.0000 0.0000 0.0000
Hf 0.0000 0.5000 0.5000
Hf 0.5000 0.0000 0.5000
Hf 0.5000 0.5000 0.0000
In 0.0000 0.0000 0.5000
In 0.0000 0.5000 0.0000
In 0.5000 0.0000 0.0000
In 0.5000 0.5000 0.5000
Ga 0.2500 0.2500 0.7500
Ga 0.2500 0.7500 0.2500
Ga 0.7500 0.2500 0.2500
Ga 0.7500 0.7500 0.7500
Pd 0.2500 0.2500 0.2500
Pd 0.2500 0.7500 0.7500
Pd 0.7500 0.2500 0.7500
Pd 0.7500 0.7500 0.2500

Summary:
E_form ... -1.43 eV per formula unit
Calculated volume ... 18.64 Å³ per atom

Density functional theory data (PBE) for a relaxed structure of MnZn2AgS4.

Lattice parameters (Å, degrees): 5.4432 5.4432 11.2826 90.00 90.00 90.00
Element x y z (fractional)
Mn 0.0000 0.0000 0.0000
Mn 0.5000 0.5000 0.5000
Zn 0.0000 0.5000 0.2500
Zn 0.0000 0.5000 0.7500
Zn 0.5000 0.0000 0.2500
Zn 0.5000 0.0000 0.7500
Ag 0.0000 0.0000 0.5000
Ag 0.5000 0.5000 0.0000
S 0.2331 0.2331 0.8699
S 0.2331 0.7669 0.1301
S 0.2669 0.2669 0.3699
S 0.2669 0.7331 0.6301
S 0.7331 0.2669 0.6301
S 0.7331 0.7331 0.3699
S 0.7669 0.2331 0.1301
S 0.7669 0.7669 0.8699

Summary:
Raw formation energy ... -4.272 eV/f.u.
Calculated volume ... 20.89 Å³ per atom

Density functional theory data (PBE) for a relaxed structure of HfIn2Pd5.

Lattice parameters (Å, degrees): 4.1809 4.1809 15.5889 90.00 90.00 90.00
Element x y z (fractional)
Hf 0.0000 0.0000 0.0000
Hf 0.5000 0.5000 0.5000
In 0.0000 0.0000 0.2562
In 0.0000 0.0000 0.7438
In 0.5000 0.5000 0.2438
In 0.5000 0.5000 0.7562
Pd 0.0000 0.0000 0.5000
Pd 0.0000 0.5000 0.1223
Pd 0.0000 0.5000 0.3777
Pd 0.0000 0.5000 0.6223
Pd 0.0000 0.5000 0.8777
Pd 0.5000 0.0000 0.1223
Pd 0.5000 0.0000 0.3777
Pd 0.5000 0.0000 0.6223
Pd 0.5000 0.0000 0.8777
Pd 0.5000 0.5000 0.0000

Summary:
E_form ... -5.16 eV per formula unit
Calculated volume ... 17.03 Å³ per atom

Density functional theory data (PBE) for a relaxed structure of LiAg4Sb.

Lattice parameters (Å, degrees): 4.2284 12.6106 4.1658 90.00 90.00 90.00
Element x y z (fractional)
Li 0.0000 0.0000 0.0000
Li 0.5000 0.5000 0.0000
Ag 0.0000 0.1669 0.5000
Ag 0.0000 0.3313 0.0000
Ag 0.0000 0.6687 0.0000
Ag 0.0000 0.8331 0.5000
Ag 0.5000 0.1687 0.0000
Ag 0.5000 0.3331 0.5000
Ag 0.5000 0.6669 0.5000
Ag 0.5000 0.8313 0.0000
Sb 0.0000 0.5000 0.5000
Sb 0.5000 0.0000 0.5000

Summary:
Raw formation energy ... -0.806 eV/f.u.
Excess energy over the best structure of this formula in the dataset ... 0.0 meV per atom
Calculated volume ... 18.51 Å³ per atom

Density functional theory data (PBE) for a relaxed structure of Y2TiPbO.

Lattice parameters (Å, degrees): 4.9591 4.9591 4.0861 90.00 90.00 90.00
Element x y z (fractional)
Y 0.0000 0.5000 0.0000
Y 0.5000 0.0000 0.0000
Ti 0.0000 0.0000 0.5000
Pb 0.5000 0.5000 0.5000
O 0.0000 0.0000 0.0000

Summary:
Raw formation energy ... -6.203 eV/f.u.
Calculated volume ... 20.10 Å³ per atom

Density functional theory data (PBE) for a relaxed structure of Cr2RhN.

Lattice parameters (Å, degrees): 2.7213 2.7213 19.9358 90.00 90.00 120.00
Element x y z (fractional)
Cr 0.0000 0.0000 0.0000
Cr 0.0000 0.0000 0.2135
Cr 0.3333 0.6667 0.6667
Cr 0.3333 0.6667 0.8802
Cr 0.6667 0.3333 0.3333
Cr 0.6667 0.3333 0.5469
Rh 0.0000 0.0000 0.4428
Rh 0.3333 0.6667 0.1095
Rh 0.6667 0.3333 0.7761
N 0.0000 0.0000 0.6061
N 0.3333 0.6667 0.2728
N 0.6667 0.3333 0.9395

Summary:
Raw formation energy ... -1.187 eV/f.u.
Calculated volume ... 10.65 Å³ per atom

- Which value of calculated volume does entry 3 give?
  17.03 Å³ per atom

- The highest calculated volume belongs to which entry?
  MnZn2AgS4